# 1
Here is a relaxed structure of CsY3Sn from the Alexandria database. Energies are from PBE.

```
CsY3Sn
1.0
-2.392 -4.712 1.808
4.755 -2.775 -0.941
1.692 1.136 5.200
Cs Y Sn
1 3 1
Cartesian
0.000 0.000 0.000
2.377 -1.387 -0.470
0.846 0.568 2.600
-1.196 -2.356 0.904
2.027 -3.175 3.034
```

Properties
The value obtained for the calculated total energy is -18.4 eV/f.u. As for the space group: Pm-3m. The theoretical density is 4.94 g cm⁻³. As for the calculated formation energy: 1.166 eV per atom.



# 2
Here is a relaxed structure of CsY3Sn from the Alexandria database. Energies are from PBE.

```
CsY3Sn
1.0
5.967 0.000 0.000
0.000 5.967 0.000
0.000 0.000 5.967
Sn Y Cs
1 3 1
Cartesian
0.000 0.000 0.000
0.000 2.984 0.000
0.000 0.000 2.984
2.984 0.000 0.000
2.984 2.984 2.984
```

Properties
The value obtained for the calculated total energy is -22.6 eV/f.u. As for the space group: Pm-3m. The theoretical density is 4.05 g cm⁻³. As for the calculated formation energy: 0.324 eV per atom.